A relaxed structure of Dy2Y3Er2Ni2Se2, computed with GGA-PBE.

For the size of the total moment, the calculation gives 0.01 μB/f.u. The energy is -5.896 eV per atom.

It has space group Imm2 (No. 44), with a = 3.800 Å, b = 15.111 Å, c = 9.304 Å, α = 90.00°, β = 90.00° and γ = 90.00°. Symmetry generates all atoms from Dy at (0.000, 0.125, 0.000), Y at (0.000, 0.000, 0.590), Y at (0.000, 0.360, 0.846), Er at (0.000, 0.316, 0.204), Ni at (0.000, 0.239, 0.513), Se at (0.000, 0.000, 0.249) and Se at (0.000, 0.500, 0.344).

---

A relaxed structure of DyErSi4Ni2, computed with GGA-PBE.

For the size of the total moment, the calculation gives 0.00 μB/f.u. The energy is -6.082 eV per atom.

It has space group Amm2 (No. 38), with a = 3.956 Å, b = 3.968 Å, c = 16.386 Å, α = 90.00°, β = 90.00° and γ = 90.00°. Symmetry generates all atoms from Dy at (0.000, 0.000, 0.000), Er at (0.500, 0.000, 0.789), Si at (0.000, 0.000, 0.355), Si at (0.000, 0.000, 0.645), Si at (0.500, 0.000, 0.145), Si at (0.500, 0.000, 0.434), Ni at (0.000, 0.000, 0.218) and Ni at (0.500, 0.000, 0.572).

---

A relaxed structure of Dy2ErSi4Ni4, computed with GGA-PBE.

For the size of the total moment, the calculation gives 0.00 μB/f.u. The energy is -6.031 eV per atom.

It has space group Immm (No. 71), with a = 4.033 Å, b = 6.531 Å, c = 13.271 Å, α = 90.00°, β = 90.00° and γ = 90.00°. Symmetry generates all atoms from Dy at (0.000, 0.000, 0.129), Er at (0.000, 0.500, 0.000), Si at (0.000, 0.311, 0.500), Si at (0.000, 0.500, 0.217) and Ni at (0.000, 0.195, 0.324).

---

A relaxed structure of DyErNi2Sn2, computed with GGA-PBE.

For the size of the total moment, the calculation gives 0.01 μB/f.u. The energy is -5.349 eV per atom.

It has space group P3m1 (No. 156), with a = 4.4740 Å, b = 4.4740 Å, c = 7.1030 Å, α = 90.00°, β = 90.00° and γ = 120.00°. Symmetry generates all atoms from Dy at (0.0000, 0.0000, 0.0000), Er at (0.0000, 0.0000, 0.5000), Ni at (0.3333, 0.6667, 0.3189), Ni at (0.6667, 0.3333, 0.8118), Sn at (0.3333, 0.6667, 0.7346) and Sn at (0.6667, 0.3333, 0.2401).

---

A relaxed structure of Dy2Er5Ni2Te2, computed with GGA-PBE.

For the size of the total moment, the calculation gives 0.01 μB/f.u. For the energy above the lowest structure with this stoichiometry, the calculation gives 0.013 eV per formula unit.

It has space group Imm2 (No. 44), with a = 3.826 Å, b = 15.520 Å, c = 9.542 Å, α = 90.00°, β = 90.00° and γ = 90.00°. Symmetry generates all atoms from Dy at (0.000, 0.133, 0.000), Er at (0.000, 0.000, 0.419), Er at (0.000, 0.315, 0.798), Er at (0.000, 0.354, 0.147), Ni at (0.000, 0.236, 0.491), Te at (0.000, 0.000, 0.754) and Te at (0.000, 0.500, 0.656).

---

A relaxed structure of Dy5Er2Ni2Te2, computed with GGA-PBE.

For the size of the total moment, the calculation gives 0.00 μB/f.u. For the energy above the lowest structure with this stoichiometry, the calculation gives 0.055 eV per formula unit.

It has space group Imm2 (No. 44), with a = 3.848 Å, b = 15.610 Å, c = 9.543 Å, α = 90.00°, β = 90.00° and γ = 90.00°. Symmetry generates all atoms from Dy at (0.000, 0.000, 0.000), Dy at (0.000, 0.315, 0.379), Dy at (0.000, 0.354, 0.731), Er at (0.000, 0.133, 0.583), Ni at (0.000, 0.238, 0.072), Te at (0.000, 0.000, 0.338) and Te at (0.000, 0.500, 0.234).

---

A relaxed structure of Dy2Er5Ni2Te2, computed with GGA-PBE.

For the size of the total moment, the calculation gives 0.02 μB/f.u. For the energy above the lowest structure with this stoichiometry, the calculation gives 0.081 eV per formula unit.

It has space group Imm2 (No. 44), with a = 3.827 Å, b = 15.481 Å, c = 9.482 Å, α = 90.00°, β = 90.00° and γ = 90.00°. Symmetry generates all atoms from Dy at (0.000, 0.185, 0.000), Er at (0.000, 0.146, 0.351), Er at (0.000, 0.367, 0.204), Er at (0.000, 0.500, 0.621), Ni at (0.000, 0.262, 0.693), Te at (0.000, 0.000, 0.856) and Te at (0.000, 0.500, 0.958).

---

A relaxed structure of Dy3Er4Ni2Te2, computed with GGA-PBE.

For the size of the total moment, the calculation gives 0.01 μB/f.u. For the energy above the lowest structure with this stoichiometry, the calculation gives 0.070 eV per formula unit.

It has space group Imm2 (No. 44), with a = 3.837 Å, b = 15.569 Å, c = 9.537 Å, α = 90.00°, β = 90.00° and γ = 90.00°. Symmetry generates all atoms from Dy at (0.000, 0.000, 0.000), Dy at (0.000, 0.315, 0.378), Er at (0.000, 0.133, 0.582), Er at (0.000, 0.354, 0.730), Ni at (0.000, 0.238, 0.072), Te at (0.000, 0.000, 0.338) and Te at (0.000, 0.500, 0.233).

---

A relaxed structure of Dy3Er4Ni2Te2, computed with GGA-PBE.

For the size of the total moment, the calculation gives 0.01 μB/f.u. For the energy above the lowest structure with this stoichiometry, the calculation gives 0.022 eV per formula unit.

It has space group Imm2 (No. 44), with a = 3.829 Å, b = 15.522 Å, c = 9.513 Å, α = 90.00°, β = 90.00° and γ = 90.00°. Symmetry generates all atoms from Dy at (0.000, 0.000, 0.000), Dy at (0.000, 0.133, 0.582), Er at (0.000, 0.315, 0.379), Er at (0.000, 0.353, 0.730), Ni at (0.000, 0.237, 0.072), Te at (0.000, 0.000, 0.336) and Te at (0.000, 0.500, 0.236).

---

A relaxed structure of Dy2Er5Ni2Te2, computed with GGA-PBE.

For the size of the total moment, the calculation gives 0.01 μB/f.u. For the energy above the lowest structure with this stoichiometry, the calculation gives 0.000 eV per formula unit.

It has space group Imm2 (No. 44), with a = 3.834 Å, b = 15.547 Å, c = 9.515 Å, α = 90.00°, β = 90.00° and γ = 90.00°. Symmetry generates all atoms from Dy at (0.000, 0.146, 0.000), Er at (0.000, 0.185, 0.352), Er at (0.000, 0.367, 0.148), Er at (0.000, 0.500, 0.731), Ni at (0.000, 0.262, 0.659), Te at (0.000, 0.000, 0.496) and Te at (0.000, 0.500, 0.392).

---

A relaxed structure of Dy4Er3Ni2Te2, computed with GGA-PBE.

For the size of the total moment, the calculation gives 0.01 μB/f.u. For the energy above the lowest structure with this stoichiometry, the calculation gives 0.054 eV per formula unit.

It has space group Imm2 (No. 44), with a = 3.841 Å, b = 15.591 Å, c = 9.543 Å, α = 90.00°, β = 90.00° and γ = 90.00°. Symmetry generates all atoms from Dy at (0.000, 0.146, 0.000), Dy at (0.000, 0.185, 0.649), Er at (0.000, 0.367, 0.852), Er at (0.000, 0.500, 0.270), Ni at (0.000, 0.262, 0.342), Te at (0.000, 0.000, 0.504) and Te at (0.000, 0.500, 0.608).

---

A relaxed structure of Dy3Er4Ni2Te2, computed with GGA-PBE.

For the size of the total moment, the calculation gives 0.01 μB/f.u. For the energy above the lowest structure with this stoichiometry, the calculation gives 0.000 eV per formula unit.

It has space group Imm2 (No. 44), with a = 3.845 Å, b = 15.574 Å, c = 9.516 Å, α = 90.00°, β = 90.00° and γ = 90.00°. Symmetry generates all atoms from Dy at (0.000, 0.000, 0.000), Dy at (0.000, 0.353, 0.731), Er at (0.000, 0.133, 0.583), Er at (0.000, 0.315, 0.379), Ni at (0.000, 0.238, 0.071), Te at (0.000, 0.000, 0.339) and Te at (0.000, 0.500, 0.234).